No. 1
A plane-wave DFT calculation with PBE was carried out for an optimized crystal structure of TbYAs2O8.

Lattice parameters (Å, degrees): 6.720 6.720 6.720 135.77 135.77 64.34
Element x y z (fractional)
Tb 0.000 0.000 0.000
Y 0.250 0.750 0.500
As 0.500 0.500 0.000
As 0.750 0.250 0.500
O 0.273 0.673 0.104
O 0.327 0.431 0.600
O 0.419 0.023 0.100
O 0.569 0.169 0.896
O 0.681 0.581 0.604
O 0.831 0.727 0.400
O 0.923 0.319 0.900
O 0.977 0.077 0.396

Results
Space-group type   I-4, No. 82
Calculated volume   145.6 Å³/f.u.
E_tot   -88.245 eV per formula unit
Uncorrected formation energy   -2.3488 eV/atom
Crystal system   tetragonal

=====

No. 2
A plane-wave DFT calculation with PBE was carried out for an optimized crystal structure of TbZnAs2O8.

Lattice parameters (Å, degrees): 5.908 5.908 5.908 106.69 106.69 115.18
Element x y z (fractional)
Tb 0.000 0.000 0.000
Zn 0.250 0.750 0.500
As 0.500 0.500 0.000
As 0.750 0.250 0.500
O 0.323 0.136 0.813
O 0.323 0.510 0.187
O 0.390 0.072 0.317
O 0.490 0.677 0.813
O 0.755 0.072 0.683
O 0.864 0.677 0.187
O 0.928 0.245 0.317
O 0.928 0.610 0.683

Results
Space-group type   I-4m2, No. 119
Calculated volume   157.5 Å³/f.u.
E_tot   -74.039 eV per formula unit
Uncorrected formation energy   -1.5975 eV/atom
Crystal system   tetragonal

=====

No. 3
A plane-wave DFT calculation with PBE was carried out for an optimized crystal structure of TbZn2AsO2.

Lattice parameters (Å, degrees): 3.551 3.551 12.288 90.00 90.00 90.00
Element x y z (fractional)
Tb 0.000 0.000 0.000
Zn 0.000 0.000 0.313
Zn 0.000 0.000 0.687
As 0.000 0.000 0.500
O 0.000 0.000 0.169
O 0.000 0.000 0.831

Results
Space-group type   P4/mmm, No. 123
Calculated volume   155.0 Å³/f.u.
E_tot   -25.137 eV per formula unit
Uncorrected formation energy   -0.5655 eV/atom
Crystal system   tetragonal

=====

No. 4
A plane-wave DFT calculation with PBE was carried out for an optimized crystal structure of TbZn2AsO6.

Lattice parameters (Å, degrees): 7.088 7.088 6.686 110.16 110.16 74.61
Element x y z (fractional)
Tb 0.224 0.776 0.750
Tb 0.776 0.224 0.250
Zn 0.283 0.343 0.854
Zn 0.343 0.283 0.354
Zn 0.657 0.717 0.646
Zn 0.717 0.657 0.146
As 0.158 0.842 0.250
As 0.842 0.158 0.750
O 0.075 0.143 0.712
O 0.143 0.075 0.212
O 0.197 0.656 0.017
O 0.249 0.446 0.607
O 0.344 0.803 0.483
O 0.446 0.249 0.107
O 0.554 0.751 0.893
O 0.656 0.197 0.517
O 0.751 0.554 0.393
O 0.803 0.344 0.983
O 0.857 0.925 0.788
O 0.925 0.857 0.288

Results
Space-group type   C2/c, No. 15
Calculated volume   145.9 Å³/f.u.
E_tot   -59.977 eV per formula unit
Uncorrected formation energy   -1.8400 eV/atom
Crystal system   monoclinic

=====

No. 5
A plane-wave DFT calculation with PBE was carried out for an optimized crystal structure of TcAs3O.

Lattice parameters (Å, degrees): 4.298 4.298 4.298 90.00 90.00 90.00
Element x y z (fractional)
Tc 0.000 0.000 0.000
As 0.000 0.500 0.500
As 0.500 0.000 0.500
As 0.500 0.500 0.000
O 0.500 0.500 0.500

Results
Space-group type   Pm-3m, No. 221
Calculated volume   79.4 Å³/f.u.
ΔE to the lowest computed polymorph   0 meV/atom
E_tot   -27.121 eV per formula unit
Uncorrected formation energy   0.4303 eV/atom
Crystal system   cubic

=====

No. 6
A plane-wave DFT calculation with PBE was carried out for an optimized crystal structure of TcAsO2.

Lattice parameters (Å, degrees): 2.819 2.819 20.662 90.00 90.00 120.00
Element x y z (fractional)
Tc 0.000 0.000 0.000
Tc 0.333 0.667 0.667
Tc 0.667 0.333 0.333
As 0.000 0.000 0.500
As 0.333 0.667 0.167
As 0.667 0.333 0.833
O 0.000 0.000 0.398
O 0.000 0.000 0.602
O 0.333 0.667 0.064
O 0.333 0.667 0.269
O 0.667 0.333 0.731
O 0.667 0.333 0.936

Results
Space-group type   R-3m, No. 166
Calculated volume   47.4 Å³/f.u.
E_tot   -27.966 eV per formula unit
Uncorrected formation energy   -0.7585 eV/atom
Crystal system   trigonal

=====

No. 7
A plane-wave DFT calculation with PBE was carried out for an optimized crystal structure of TcAsO2.

Lattice parameters (Å, degrees): 5.863 5.863 8.514 90.00 90.00 90.00
Element x y z (fractional)
Tc 0.000 0.000 0.000
Tc 0.000 0.500 0.250
Tc 0.500 0.000 0.750
Tc 0.500 0.500 0.500
As 0.000 0.000 0.500
As 0.000 0.500 0.750
As 0.500 0.000 0.250
As 0.500 0.500 0.000
O 0.061 0.250 0.125
O 0.250 0.561 0.375
O 0.250 0.939 0.875
O 0.439 0.250 0.625
O 0.561 0.750 0.625
O 0.750 0.061 0.875
O 0.750 0.439 0.375
O 0.939 0.750 0.125

Results
Space-group type   I-42d, No. 122
Calculated volume   73.2 Å³/f.u.
E_tot   -25.645 eV per formula unit
Uncorrected formation energy   -0.1782 eV/atom
Crystal system   tetragonal

=====

No. 8
A plane-wave DFT calculation with PBE was carried out for an optimized crystal structure of TcAs3O.

Lattice parameters (Å, degrees): 4.728 4.728 4.728 90.00 90.00 90.00
Element x y z (fractional)
Tc 0.000 0.000 0.000
As 0.000 0.000 0.500
As 0.000 0.500 0.000
As 0.500 0.000 0.000
O 0.500 0.500 0.500

Results
Space-group type   Pm-3m, No. 221
Calculated volume   105.7 Å³/f.u.
ΔE to the lowest computed polymorph   296 meV/atom
E_tot   -25.643 eV per formula unit
Uncorrected formation energy   0.7260 eV/atom
Crystal system   cubic

=====

No. 9
A plane-wave DFT calculation with PBE was carried out for an optimized crystal structure of TcAs2O8.

Lattice parameters (Å, degrees): 6.924 6.924 4.890 90.70 90.70 47.23
Element x y z (fractional)
Tc 0.000 0.000 0.000
As 0.156 0.156 0.596
As 0.844 0.844 0.404
O 0.117 0.117 0.250
O 0.147 0.698 0.231
O 0.285 0.285 0.643
O 0.302 0.853 0.769
O 0.698 0.147 0.231
O 0.715 0.715 0.357
O 0.853 0.302 0.769
O 0.883 0.883 0.750

Results
Space-group type   C2/m, No. 12
Calculated volume   172.1 Å³/f.u.
E_tot   -69.355 eV per formula unit
Uncorrected formation energy   -0.9113 eV/atom
Crystal system   monoclinic

=====

No. 10
A plane-wave DFT calculation with PBE was carried out for an optimized crystal structure of TcAs2O2.

Lattice parameters (Å, degrees): 3.880 3.880 5.020 90.00 90.00 90.00
Element x y z (fractional)
Tc 0.000 0.000 0.000
As 0.000 0.500 0.500
As 0.500 0.000 0.500
O 0.000 0.500 0.000
O 0.500 0.000 0.000

Results
Space-group type   P4/mmm, No. 123
Calculated volume   75.6 Å³/f.u.
ΔE to the lowest computed polymorph   0 meV/atom
E_tot   -31.031 eV per formula unit
Uncorrected formation energy   -0.2898 eV/atom
Crystal system   tetragonal

=====

No. 11
A plane-wave DFT calculation with PBE was carried out for an optimized crystal structure of TcAsO6.

Lattice parameters (Å, degrees): 5.132 5.132 5.132 57.19 57.19 57.19
Element x y z (fractional)
Tc 0.000 0.000 0.000
As 0.500 0.500 0.500
O 0.138 0.745 0.369
O 0.255 0.631 0.862
O 0.369 0.138 0.745
O 0.631 0.862 0.255
O 0.745 0.369 0.138
O 0.862 0.255 0.631

Results
Space-group type   R-3, No. 148
Calculated volume   89.4 Å³/f.u.
E_tot   -52.551 eV per formula unit
Uncorrected formation energy   -0.9732 eV/atom
Crystal system   trigonal

=====

No. 12
A plane-wave DFT calculation with PBE was carried out for an optimized crystal structure of TcAs2O2.

Lattice parameters (Å, degrees): 4.552 4.552 6.777 90.00 90.00 90.00
Element x y z (fractional)
Tc 0.000 0.000 0.000
Tc 0.500 0.500 0.500
As 0.000 0.500 0.250
As 0.000 0.500 0.750
As 0.500 0.000 0.250
As 0.500 0.000 0.750
O 0.000 0.000 0.300
O 0.000 0.000 0.700
O 0.500 0.500 0.200
O 0.500 0.500 0.800

Results
Space-group type   I4/mmm, No. 139
Calculated volume   70.2 Å³/f.u.
ΔE to the lowest computed polymorph   321 meV/atom
E_tot   -29.423 eV per formula unit
Uncorrected formation energy   0.0316 eV/atom
Crystal system   tetragonal